Entry 1:
DFT (GGA-PBE) results for NaTmCdTe3 after structural relaxation. Values from VASP.

Geometry as Quantum ESPRESSO input:
```
&SYSTEM
  ibrav = 0, nat = 12, ntyp = 4
/
ATOMIC_SPECIES
Na 22.99 Na.upf
Te 127.60 Te.upf
Cd 112.41 Cd.upf
Tm 168.93 Tm.upf
ATOMIC_POSITIONS crystal
Na 0.767 0.767 0.250
Na 0.233 0.233 0.750
Te 0.091 0.091 0.250
Te 0.909 0.909 0.750
Te 0.360 0.360 0.447
Te 0.640 0.640 0.947
Te 0.640 0.640 0.553
Te 0.360 0.360 0.053
Cd 0.468 0.468 0.250
Cd 0.532 0.532 0.750
Tm 0.000 0.000 0.000
Tm 0.000 0.000 0.500
CELL_PARAMETERS angstrom
-1.616 7.023 2.852
-4.184 4.227 4.969
8.208 -1.404 8.106
```

Output
As for the space-group type: Cmcm (63). As for the magnetic moment: 0.00 μB/cell. The polymorph energy (0 for the lowest one) is 0.0067 eV per atom.



Entry 2:
DFT (GGA-PBE) results for TlCdPb after structural relaxation. Values from VASP.

Geometry as Quantum ESPRESSO input:
```
&SYSTEM
  ibrav = 0, nat = 3, ntyp = 3
/
ATOMIC_SPECIES
Tl 204.38 Tl.upf
Cd 112.41 Cd.upf
Pb 207.20 Pb.upf
ATOMIC_POSITIONS crystal
Tl 0.750 0.750 0.750
Cd 0.000 0.000 0.000
Pb 0.250 0.250 0.250
CELL_PARAMETERS angstrom
3.568 -3.559 -0.865
0.848 -3.664 3.463
-1.385 -4.821 -0.988
```

Output
As for the space-group type: F-43m (216). The polymorph energy (0 for the lowest one) is 0.0000 eV per atom.



Entry 3:
DFT (GGA-PBE) results for Li2Mg2In2FePt after structural relaxation. Values from VASP.

Geometry as Quantum ESPRESSO input:
```
&SYSTEM
  ibrav = 0, nat = 8, ntyp = 5
/
ATOMIC_SPECIES
Pt 195.08 Pt.upf
Mg 24.30 Mg.upf
Fe 55.84 Fe.upf
Li 6.94 Li.upf
In 114.82 In.upf
ATOMIC_POSITIONS crystal
Pt 0.000 0.000 0.500
Mg 0.000 0.500 0.257
Mg 0.500 0.000 0.743
Fe 0.500 0.500 0.000
Li 0.500 0.500 0.500
Li 0.000 0.000 0.000
In 0.000 0.500 0.761
In 0.500 0.000 0.239
CELL_PARAMETERS angstrom
-3.715 2.487 0.654
-0.432 -1.737 4.149
3.693 4.878 2.427
```

Output
As for the space-group type: P-4m2 (115). As for the magnetic moment: 2.29 μB/cell.



Raw total energy
In order: -3.6243 -2.2176 -3.6540
Unit: eV per atom